First-principles (GGA-PBE) data for a geometry-optimized CsHfCd2W structure, as listed in the Alexandria database.

abc: 5.651 5.651 4.976
angles: 90.00 90.00 90.00
Space group P4/mmm (No. 123)
Symmetry-distinct sites (fractional):
Cs 0.000 0.000 0.000 (multiplicity 1)
Hf 0.500 0.500 0.000 (multiplicity 1)
Cd 0.000 0.500 0.500 (multiplicity 2)
W 0.500 0.500 0.500 (multiplicity 1)

Computed properties:
As for the energy: -21.35 eV for the cell shown. The formation energy is 0.8486 eV/atom.